(1)
Here is a relaxed Dy2PdO4 crystal from OQMD via LeMat-Bulk. Energies are from PBE.

Results
total DFT energy (no corrections)	-211.51	eV per cell
space-group type	P4/ncc, No. 130

Lattice parameters (Å, degrees): 7.8504 7.8504 6.2131 90.00 90.00 90.00
Last column: nearest neighbours and their distance in Å.
Sites, in units of the cell vectors:
Dy: 0.0696 0.5696 0.2500  6 O 2.28-2.30
Dy: 0.0696 0.9304 0.7500  6 O 2.28-2.30
Dy: 0.4304 0.5696 0.7500  6 O 2.28-2.30
Dy: 0.4304 0.9304 0.2500  6 O 2.28-2.30
Dy: 0.5696 0.0696 0.7500  6 O 2.28-2.30
Dy: 0.5696 0.4304 0.2500  6 O 2.28-2.30
Dy: 0.9304 0.0696 0.2500  6 O 2.28-2.30
Dy: 0.9304 0.4304 0.7500  6 O 2.28-2.30
Pd: 0.2500 0.2500 0.0612  4 O 2.06
Pd: 0.2500 0.2500 0.5612  4 O 2.06
Pd: 0.7500 0.7500 0.4388  4 O 2.06
Pd: 0.7500 0.7500 0.9388  4 O 2.06
O: 0.0023 0.6791 0.9206  1 Pd 2.06, 3 Dy 2.28-2.30
O: 0.0023 0.8209 0.4206  1 Pd 2.06, 3 Dy 2.28-2.30
O: 0.1791 0.5023 0.5794  1 Pd 2.06, 3 Dy 2.28-2.30
O: 0.1791 0.9977 0.0794  1 Pd 2.06, 3 Dy 2.28-2.30
O: 0.3209 0.5023 0.0794  1 Pd 2.06, 3 Dy 2.28-2.30
O: 0.3209 0.9977 0.5794  1 Pd 2.06, 3 Dy 2.28-2.30
O: 0.4977 0.6791 0.4206  1 Pd 2.06, 3 Dy 2.28-2.30
O: 0.4977 0.8209 0.9206  1 Pd 2.06, 3 Dy 2.28-2.30
O: 0.5023 0.1791 0.0794  1 Pd 2.06, 3 Dy 2.28-2.30
O: 0.5023 0.3209 0.5794  1 Pd 2.06, 3 Dy 2.28-2.30
O: 0.6791 0.0023 0.4206  1 Pd 2.06, 3 Dy 2.28-2.30
O: 0.6791 0.4977 0.9206  1 Pd 2.06, 3 Dy 2.28-2.30
O: 0.8209 0.0023 0.9206  1 Pd 2.06, 3 Dy 2.28-2.30
O: 0.8209 0.4977 0.4206  1 Pd 2.06, 3 Dy 2.28-2.30
O: 0.9977 0.1791 0.5794  1 Pd 2.06, 3 Dy 2.28-2.30
O: 0.9977 0.3209 0.0794  1 Pd 2.06, 3 Dy 2.28-2.30

=====

(2)
Here is a relaxed Dy2PdO4 crystal from OQMD via LeMat-Bulk. Energies are from PBE.

Results
total DFT energy (no corrections)	-211.49	eV per cell
space-group type	Pbca, No. 61

Lattice parameters (Å, degrees): 5.5510 5.5746 11.8482 90.00 90.00 90.00
Last column: nearest neighbours and their distance in Å.
Sites, in units of the cell vectors:
Dy: 0.0086 0.0378 0.1588  6 O 2.21-2.38
Dy: 0.0086 0.4622 0.6588  6 O 2.21-2.38
Dy: 0.4914 0.5378 0.1588  6 O 2.21-2.38
Dy: 0.4914 0.9622 0.6588  6 O 2.21-2.38
Dy: 0.5086 0.0378 0.3412  6 O 2.21-2.38
Dy: 0.5086 0.4622 0.8412  6 O 2.21-2.38
Dy: 0.9914 0.5378 0.3412  6 O 2.21-2.38
Dy: 0.9914 0.9622 0.8412  6 O 2.21-2.38
Pd: 0.0000 0.0000 0.5000  4 O 2.05
Pd: 0.0000 0.5000 0.0000  4 O 2.05
Pd: 0.5000 0.0000 0.0000  4 O 2.05
Pd: 0.5000 0.5000 0.5000  4 O 2.05
O: 0.1781 0.6790 0.5098  2 Pd 2.05
O: 0.1781 0.8210 0.0098  2 Pd 2.05
O: 0.2413 0.2114 0.7560  4 Dy 2.21-2.28
O: 0.2413 0.2886 0.2560  4 Dy 2.21-2.28
O: 0.2587 0.7114 0.7560  4 Dy 2.21-2.28
O: 0.2587 0.7886 0.2560  4 Dy 2.21-2.28
O: 0.3219 0.1790 0.5098  2 Pd 2.05
O: 0.3219 0.3210 0.0098  2 Pd 2.05
O: 0.6781 0.6790 0.9902  2 Pd 2.05
O: 0.6781 0.8210 0.4902  2 Pd 2.05
O: 0.7413 0.2114 0.7440  4 Dy 2.21-2.28
O: 0.7413 0.2886 0.2440  4 Dy 2.21-2.28
O: 0.7587 0.7114 0.7440  4 Dy 2.21-2.28
O: 0.7587 0.7886 0.2440  4 Dy 2.21-2.28
O: 0.8219 0.1790 0.9902  2 Pd 2.05
O: 0.8219 0.3210 0.4902  2 Pd 2.05

=====

(3)
Here is a relaxed Dy2TePdO6 crystal from OQMD via LeMat-Bulk. Energies are from PBE.

Results
total DFT energy (no corrections)	-61.06	eV per cell
space-group type	I4/mmm, No. 139

Lattice parameters (Å, degrees): 5.7498 5.7498 5.7498 120.20 120.20 89.66
Last column: nearest neighbours and their distance in Å.
Sites, in units of the cell vectors:
Dy: 0.2500 0.7500 0.5000  12 O 2.87-2.88
Dy: 0.7500 0.2500 0.5000  12 O 2.87-2.88
Te: 0.0000 0.0000 0.0000  6 O 1.99
Pd: 0.5000 0.5000 0.0000  6 O 2.07-2.09
O: 0.2444 0.2444 0.0000  1 Te 1.99, 1 Pd 2.09
O: 0.2452 0.2452 0.4905  1 Te 1.99, 1 Pd 2.07
O: 0.2452 0.7548 0.0000  1 Te 1.99, 1 Pd 2.07
O: 0.7548 0.2452 0.0000  1 Te 1.99, 1 Pd 2.07
O: 0.7548 0.7548 0.5095  1 Te 1.99, 1 Pd 2.07
O: 0.7556 0.7556 0.0000  1 Te 1.99, 1 Pd 2.09

=====

- What is the total DFT energy (no corrections) in the first record?
  -211.51 eV per cell

=====

- The lowest total DFT energy (no corrections) belongs to which entry?
  number 1

=====

What did the third record say?
Here is a relaxed Dy2TePdO6 crystal from OQMD via LeMat-Bulk. Energies are from PBE.

Results
total DFT energy (no corrections)	-61.06	eV per cell
space-group type	I4/mmm, No. 139

Lattice parameters (Å, degrees): 5.7498 5.7498 5.7498 120.20 120.20 89.66
Last column: nearest neighbours and their distance in Å.
Sites, in units of the cell vectors:
Dy: 0.2500 0.7500 0.5000  12 O 2.87-2.88
Dy: 0.7500 0.2500 0.5000  12 O 2.87-2.88
Te: 0.0000 0.0000 0.0000  6 O 1.99
Pd: 0.5000 0.5000 0.0000  6 O 2.07-2.09
O: 0.2444 0.2444 0.0000  1 Te 1.99, 1 Pd 2.09
O: 0.2452 0.2452 0.4905  1 Te 1.99, 1 Pd 2.07
O: 0.2452 0.7548 0.0000  1 Te 1.99, 1 Pd 2.07
O: 0.7548 0.2452 0.0000  1 Te 1.99, 1 Pd 2.07
O: 0.7548 0.7548 0.5095  1 Te 1.99, 1 Pd 2.07
O: 0.7556 0.7556 0.0000  1 Te 1.99, 1 Pd 2.09

=====

- Which value of total DFT energy (no corrections) does entry 3 give?
  -61.06 eV per cell